Below is TlBi2Te4 after structural relaxation, with properties calculated at the PBE-GGA level.

Properties
volume	509	Å³/cell
excess energy over the best structure of this formula in the dataset	59	meV per atom
M_tot	0.000	μB/atom
calculated total energy	-3.390	eV per atom

abc: 4.3974 7.7430 15.5979
angles: 90.00 90.00 106.50
Element x y z (fractional)
Te  0.5000  0.0000  0.0000
Te  0.2240  0.4480  0.6204
Te  0.2240  0.4480  0.8796
Te  0.0551  0.1101  0.2500
Te  0.9449  0.8899  0.7500
Te  0.7760  0.5520  0.1204
Te  0.5000  0.0000  0.5000
Te  0.7760  0.5520  0.3796
Bi  0.8597  0.7194  0.9365
Bi  0.8597  0.7194  0.5635
Bi  0.1403  0.2806  0.4365
Bi  0.1403  0.2806  0.0635
Tl  0.5939  0.1879  0.7500
Tl  0.4061  0.8121  0.2500

Below is YIn2Au8 after structural relaxation, with properties calculated at the PBE-GGA level.

Properties
volume	216	Å³/cell
DFT formation energy	-7.0	kcal/mol of atoms
excess energy over the best structure of this formula in the dataset	9	meV per atom
M_tot	0.000	μB/atom
calculated total energy	-3.771	eV per atom

abc: 4.3382 6.8246 7.8559
angles: 104.04 106.03 90.00
Element x y z (fractional)
Au  0.5953  0.4601  0.1906
Au  0.8639  0.8101  0.7279
Au  0.1361  0.1899  0.2721
Au  0.0425  0.7242  0.0849
Au  0.3180  0.0934  0.6359
Au  0.4047  0.5399  0.8094
Au  0.9575  0.2758  0.9151
Au  0.6820  0.9066  0.3641
In  0.7743  0.3417  0.5486
In  0.2257  0.6583  0.4514
Y  0.5000  0.0000  0.0000

Below is TaTc2Sb after structural relaxation, with properties calculated at the PBE-GGA level.

Properties
volume	67	Å³/cell
M_tot	0.000	μB/atom
calculated total energy	-9.213	eV per atom

abc: 5.1696 5.1696 4.4764
angles: 71.94 71.94 36.53
Element x y z (fractional)
Tc  0.7511  0.7511  0.6954
Tc  0.9977  0.9977  0.0595
Sb  0.4961  0.4961  0.5486
Ta  0.2551  0.2551  0.1965

Below is PRh2 after structural relaxation, with properties calculated at the PBE-GGA level.

Properties
volume	44	Å³/cell
DFT formation energy	8.9	kcal/mol of atoms
M_tot	0.000	μB/atom
calculated total energy	-6.319	eV per atom

abc: 4.2750 4.2750 2.7817
angles: 90.00 90.00 120.00
Element x y z (fractional)
Rh  0.6667  0.3333  0.5000
Rh  0.3333  0.6667  0.5000
P  0.0000  0.0000  0.0000

Below is SmTmPb2 after structural relaxation, with properties calculated at the PBE-GGA level.

Properties
volume	114	Å³/cell
DFT formation energy	-9.8	kcal/mol of atoms
M_tot	0.000	μB/atom
calculated total energy	-4.578	eV per atom

abc: 4.4648 5.0514 5.0514
angles: 90.00 90.00 90.00
Element x y z (fractional)
Tm  0.5000  0.5000  0.5000
Pb  0.0000  0.5000  0.0000
Pb  0.0000  0.0000  0.5000
Sm  0.5000  0.0000  0.0000

Below is Al2BiPd9 after structural relaxation, with properties calculated at the PBE-GGA level.

Properties
volume	190	Å³/cell
DFT formation energy	-11.4	kcal/mol of atoms
M_tot	0.000	μB/atom
calculated total energy	-5.337	eV per atom

abc: 4.0047 4.0047 11.8498
angles: 90.00 90.00 90.00
Element x y z (fractional)
Pd  0.5000  0.0000  0.5000
Pd  0.5000  0.0000  0.8180
Pd  0.5000  0.5000  0.6604
Pd  0.5000  0.5000  0.3396
Pd  0.5000  0.5000  0.0000
Pd  0.0000  0.5000  0.1820
Pd  0.5000  0.0000  0.1820
Pd  0.0000  0.5000  0.5000
Pd  0.0000  0.5000  0.8180
Al  0.0000  0.0000  0.3445
Al  0.0000  0.0000  0.6555
Bi  0.0000  0.0000  0.0000

Q: Number 1 is which compound?
A: TlBi2Te4